(1)
Entry from Alexandria: a geometry-optimized Tl3AsPd structure (PBE). Values from VASP.

Structure (Quantum ESPRESSO input):
```
&SYSTEM
  ibrav = 0, nat = 5, ntyp = 3
/
ATOMIC_SPECIES
Tl 204.38 Tl.upf
As 74.92 As.upf
Pd 106.42 Pd.upf
CELL_PARAMETERS angstrom
5.456 0.000 0.000
0.000 5.456 0.000
0.000 0.000 5.456
ATOMIC_POSITIONS crystal
Tl 0.000 0.000 0.500
Tl 0.000 0.500 0.000
Tl 0.500 0.000 0.000
As 0.000 0.000 0.000
Pd 0.500 0.500 0.500
```

- DFT formation energy: 0.587 eV/atom
- SG: Pm-3m (221)
- Distance to the lowest polymorph of the same formula: 373 meV/atom
- Calculated total energy: -2.801 eV/atom

(2)
Entry from Alexandria: a geometry-optimized Tl3AsPd structure (PBE). Values from VASP.

Structure (Quantum ESPRESSO input):
```
&SYSTEM
  ibrav = 0, nat = 5, ntyp = 3
/
ATOMIC_SPECIES
Tl 204.38 Tl.upf
As 74.92 As.upf
Pd 106.42 Pd.upf
CELL_PARAMETERS angstrom
5.326 0.000 0.000
0.000 5.326 0.000
0.000 0.000 5.326
ATOMIC_POSITIONS crystal
Tl 0.000 0.000 0.500
Tl 0.000 0.500 0.000
Tl 0.500 0.000 0.000
As 0.500 0.500 0.500
Pd 0.000 0.000 0.000
```

- DFT formation energy: 0.215 eV/atom
- SG: Pm-3m (221)
- Distance to the lowest polymorph of the same formula: 0 meV/atom
- Calculated total energy: -3.174 eV/atom

(3)
Entry from Alexandria: a geometry-optimized Tl3AsPd12 structure (PBE). Values from VASP.

Structure (Quantum ESPRESSO input):
```
&SYSTEM
  ibrav = 0, nat = 16, ntyp = 3
/
ATOMIC_SPECIES
Tl 204.38 Tl.upf
As 74.92 As.upf
Pd 106.42 Pd.upf
CELL_PARAMETERS angstrom
4.041 0.000 0.000
0.000 4.041 0.000
0.000 0.000 16.310
ATOMIC_POSITIONS crystal
Tl 0.000 0.000 0.000
Tl 0.000 0.000 0.253
Tl 0.000 0.000 0.747
As 0.000 0.000 0.500
Pd 0.000 0.500 0.128
Pd 0.000 0.500 0.385
Pd 0.000 0.500 0.615
Pd 0.000 0.500 0.872
Pd 0.500 0.000 0.128
Pd 0.500 0.000 0.385
Pd 0.500 0.000 0.615
Pd 0.500 0.000 0.872
Pd 0.500 0.500 0.000
Pd 0.500 0.500 0.258
Pd 0.500 0.500 0.500
Pd 0.500 0.500 0.742
```

- DFT formation energy: -0.201 eV/atom
- SG: P4/mmm (123)
- Calculated total energy: -4.830 eV/atom

(4)
Entry from Alexandria: a geometry-optimized TlAs2Pd8 structure (PBE). Values from VASP.

Structure (Quantum ESPRESSO input):
```
&SYSTEM
  ibrav = 0, nat = 11, ntyp = 3
/
ATOMIC_SPECIES
Tl 204.38 Tl.upf
As 74.92 As.upf
Pd 106.42 Pd.upf
CELL_PARAMETERS angstrom
4.911 0.000 0.000
-0.903 5.666 0.000
-1.774 -2.872 6.509
ATOMIC_POSITIONS crystal
Tl 0.000 0.000 0.000
As 0.405 0.305 0.682
As 0.595 0.695 0.318
Pd 0.146 0.891 0.358
Pd 0.200 0.423 0.388
Pd 0.248 0.583 0.959
Pd 0.386 0.903 0.760
Pd 0.614 0.097 0.240
Pd 0.752 0.417 0.041
Pd 0.800 0.577 0.612
Pd 0.854 0.109 0.642
```

- DFT formation energy: -0.308 eV/atom
- SG: P-1 (2)
- Distance to the lowest polymorph of the same formula: 0 meV/atom
- Calculated total energy: -5.145 eV/atom

(5)
Entry from Alexandria: a geometry-optimized TlAsPd6 structure (PBE). Values from VASP.

Structure (Quantum ESPRESSO input):
```
&SYSTEM
  ibrav = 0, nat = 8, ntyp = 3
/
ATOMIC_SPECIES
Tl 204.38 Tl.upf
As 74.92 As.upf
Pd 106.42 Pd.upf
CELL_PARAMETERS angstrom
4.023 0.000 0.000
0.000 4.023 0.000
0.000 0.000 8.036
ATOMIC_POSITIONS crystal
Tl 0.000 0.000 0.000
As 0.000 0.000 0.500
Pd 0.000 0.500 0.264
Pd 0.000 0.500 0.736
Pd 0.500 0.000 0.264
Pd 0.500 0.000 0.736
Pd 0.500 0.500 0.000
Pd 0.500 0.500 0.500
```

- DFT formation energy: -0.220 eV/atom
- SG: P4/mmm (123)
- Distance to the lowest polymorph of the same formula: 0 meV/atom
- Calculated total energy: -4.991 eV/atom

(6)
Entry from Alexandria: a geometry-optimized TlAs2Pd8 structure (PBE). Values from VASP.

Structure (Quantum ESPRESSO input):
```
&SYSTEM
  ibrav = 0, nat = 11, ntyp = 3
/
ATOMIC_SPECIES
Tl 204.38 Tl.upf
As 74.92 As.upf
Pd 106.42 Pd.upf
CELL_PARAMETERS angstrom
3.772 -5.590 0.000
3.772 5.590 0.000
-1.290 0.000 4.379
ATOMIC_POSITIONS crystal
Tl 0.000 0.000 0.000
As 0.321 0.679 0.500
As 0.679 0.321 0.500
Pd 0.069 0.324 0.595
Pd 0.245 0.755 0.000
Pd 0.324 0.069 0.595
Pd 0.385 0.385 0.181
Pd 0.615 0.615 0.819
Pd 0.676 0.931 0.405
Pd 0.755 0.245 0.000
Pd 0.931 0.676 0.405
```

- DFT formation energy: -0.294 eV/atom
- SG: C2/m (12)
- Distance to the lowest polymorph of the same formula: 14 meV/atom
- Calculated total energy: -5.131 eV/atom

(7)
Entry from Alexandria: a geometry-optimized TmTl2As2Pd7 structure (PBE). Values from VASP.

Structure (Quantum ESPRESSO input):
```
&SYSTEM
  ibrav = 0, nat = 12, ntyp = 4
/
ATOMIC_SPECIES
Tm 168.93 Tm.upf
Tl 204.38 Tl.upf
As 74.92 As.upf
Pd 106.42 Pd.upf
CELL_PARAMETERS angstrom
2.861 -2.853 0.000
2.861 2.853 0.000
-1.700 0.000 14.533
ATOMIC_POSITIONS crystal
Tm 0.000 0.000 0.000
Tl 0.102 0.102 0.400
Tl 0.898 0.898 0.600
As 0.425 0.425 0.755
As 0.575 0.575 0.245
Pd 0.045 0.544 0.146
Pd 0.401 0.401 0.585
Pd 0.456 0.955 0.854
Pd 0.500 0.500 0.000
Pd 0.544 0.045 0.146
Pd 0.599 0.599 0.415
Pd 0.955 0.456 0.854
```

- DFT formation energy: -0.464 eV/atom
- SG: C2/m (12)
- Calculated total energy: -5.035 eV/atom

(8)
Entry from Alexandria: a geometry-optimized YTl2As2Pd7 structure (PBE). Values from VASP.

Structure (Quantum ESPRESSO input):
```
&SYSTEM
  ibrav = 0, nat = 12, ntyp = 4
/
ATOMIC_SPECIES
Y 88.91 Y.upf
Tl 204.38 Tl.upf
As 74.92 As.upf
Pd 106.42 Pd.upf
CELL_PARAMETERS angstrom
2.875 -2.867 0.000
2.875 2.867 0.000
-1.701 0.000 14.547
ATOMIC_POSITIONS crystal
Y 0.000 0.000 0.000
Tl 0.103 0.103 0.400
Tl 0.897 0.897 0.600
As 0.425 0.425 0.753
As 0.575 0.575 0.247
Pd 0.046 0.545 0.148
Pd 0.399 0.399 0.585
Pd 0.455 0.954 0.852
Pd 0.500 0.500 0.000
Pd 0.545 0.046 0.148
Pd 0.601 0.601 0.415
Pd 0.954 0.455 0.852
```

- DFT formation energy: -0.439 eV/atom
- SG: C2/m (12)
- Calculated total energy: -5.176 eV/atom

(9)
Entry from Alexandria: a geometry-optimized TmAs2Pd4 structure (PBE). Values from VASP.

Structure (Quantum ESPRESSO input):
```
&SYSTEM
  ibrav = 0, nat = 14, ntyp = 3
/
ATOMIC_SPECIES
Tm 168.93 Tm.upf
As 74.92 As.upf
Pd 106.42 Pd.upf
CELL_PARAMETERS angstrom
7.721 0.000 0.000
0.000 7.721 0.000
0.000 0.000 4.072
ATOMIC_POSITIONS crystal
Tm 0.000 0.000 0.000
Tm 0.500 0.500 0.500
As 0.223 0.223 0.500
As 0.277 0.723 0.000
As 0.723 0.277 0.000
As 0.777 0.777 0.500
Pd 0.085 0.665 0.500
Pd 0.165 0.415 0.000
Pd 0.335 0.915 0.500
Pd 0.415 0.165 0.000
Pd 0.585 0.835 0.000
Pd 0.665 0.085 0.500
Pd 0.835 0.585 0.000
Pd 0.915 0.335 0.500
```

- DFT formation energy: -0.692 eV/atom
- SG: P4_2/mnm (136)
- Distance to the lowest polymorph of the same formula: 0 meV/atom
- Calculated total energy: -5.627 eV/atom

(10)
Entry from Alexandria: a geometry-optimized Tm2AsPd8 structure (PBE). Values from VASP.

Structure (Quantum ESPRESSO input):
```
&SYSTEM
  ibrav = 0, nat = 11, ntyp = 3
/
ATOMIC_SPECIES
Tm 168.93 Tm.upf
As 74.92 As.upf
Pd 106.42 Pd.upf
CELL_PARAMETERS angstrom
-2.333 2.920 7.019
2.333 -2.920 7.019
2.333 2.920 -7.019
ATOMIC_POSITIONS crystal
Tm 0.188 0.188 0.000
Tm 0.812 0.812 0.000
As 0.500 0.500 0.000
Pd 0.109 0.367 0.742
Pd 0.255 0.000 0.255
Pd 0.313 0.813 0.500
Pd 0.376 0.633 0.742
Pd 0.624 0.367 0.258
Pd 0.687 0.187 0.500
Pd 0.745 0.000 0.745
Pd 0.891 0.633 0.258
```

- DFT formation energy: -0.703 eV/atom
- SG: Immm (71)
- Calculated total energy: -5.716 eV/atom

(11)
Entry from Alexandria: a geometry-optimized TmAsPd4 structure (PBE). Values from VASP.

Structure (Quantum ESPRESSO input):
```
&SYSTEM
  ibrav = 0, nat = 6, ntyp = 3
/
ATOMIC_SPECIES
Tm 168.93 Tm.upf
As 74.92 As.upf
Pd 106.42 Pd.upf
CELL_PARAMETERS angstrom
4.014 0.000 0.000
0.000 4.014 0.000
0.000 0.000 7.207
ATOMIC_POSITIONS crystal
Tm 0.000 0.000 0.000
As 0.500 0.500 0.500
Pd 0.000 0.500 0.286
Pd 0.000 0.500 0.714
Pd 0.500 0.000 0.286
Pd 0.500 0.000 0.714
```

- DFT formation energy: -0.526 eV/atom
- SG: P4/mmm (123)
- Calculated total energy: -5.508 eV/atom

(12)
Entry from Alexandria: a geometry-optimized Tm2As3Pd5 structure (PBE). Values from VASP.

Structure (Quantum ESPRESSO input):
```
&SYSTEM
  ibrav = 0, nat = 20, ntyp = 3
/
ATOMIC_SPECIES
Tm 168.93 Tm.upf
As 74.92 As.upf
Pd 106.42 Pd.upf
CELL_PARAMETERS angstrom
2.151 -12.032 0.000
2.151 12.032 0.000
0.000 0.000 6.894
ATOMIC_POSITIONS crystal
Tm 0.021 0.979 0.500
Tm 0.325 0.675 0.460
Tm 0.675 0.325 0.960
Tm 0.979 0.021 0.000
As 0.109 0.891 0.793
As 0.276 0.724 0.895
As 0.453 0.547 0.702
As 0.547 0.453 0.202
As 0.724 0.276 0.395
As 0.891 0.109 0.293
Pd 0.107 0.893 0.175
Pd 0.200 0.800 0.607
Pd 0.225 0.775 0.203
Pd 0.378 0.622 0.969
Pd 0.446 0.554 0.312
Pd 0.554 0.446 0.812
Pd 0.622 0.378 0.469
Pd 0.775 0.225 0.703
Pd 0.800 0.200 0.107
Pd 0.893 0.107 0.675
```

- DFT formation energy: -0.820 eV/atom
- SG: Cmc2_1 (36)
- Calculated total energy: -5.705 eV/atom